No. 1
VASP calculation (GGA-PBE) on TaCo3Ir after structural relaxation.

* total magnetic moment: 1.041 μB per atom
* polymorph energy (0 for the lowest one): 0 meV/atom

abc: 4.4138 4.4138 4.4138
angles: 90.00 90.00 90.00
Last column: nearest neighbours and their distance in Å.
Fractional positions:
1 Ta 0.5000 0.5000 0.5000  12 Co 3.12
2 Ir 0.0000 0.0000 0.0000  6 Co 2.21
3 Co 0.0000 0.0000 0.5000  2 Ir 2.21
4 Co 0.0000 0.5000 0.0000  2 Ir 2.21
5 Co 0.5000 0.0000 0.0000  2 Ir 2.21

***

No. 2
VASP calculation (GGA-PBE) on TaCoIr2 after structural relaxation.

* total magnetic moment: 0.000 μB per atom

abc: 3.7940 3.7940 9.1681
angles: 78.06 78.06 90.00
Last column: nearest neighbours and their distance in Å.
Fractional positions:
1 Ir 0.1564 0.6250 0.2500  2 Ir 2.52, 2 Co 2.53, 2 Ta 2.62
2 Ir 0.8750 0.8436 0.7500  2 Ir 2.52, 2 Co 2.53, 2 Ta 2.62
3 Ta 0.0000 0.0000 0.0000  4 Ir 2.62, 4 Co 2.68
4 Ir 0.5936 0.1250 0.2500  2 Ir 2.52, 2 Co 2.53, 2 Ta 2.62
5 Ta 0.7500 0.2500 0.5000  4 Ir 2.62, 4 Co 2.68
6 Co 0.5000 0.5000 0.0000  4 Ir 2.53, 4 Ta 2.68
7 Ir 0.3750 0.4064 0.7500  2 Ir 2.52, 2 Co 2.53, 2 Ta 2.62
8 Co 0.2500 0.7500 0.5000  4 Ir 2.53, 4 Ta 2.68

***

No. 3
VASP calculation (GGA-PBE) on TaCoIr2 after structural relaxation.

* total magnetic moment: 0.253 μB per atom

abc: 4.6389 4.6389 2.8349
angles: 90.00 90.00 107.39
Last column: nearest neighbours and their distance in Å.
Fractional positions:
1 Ir 0.5000 0.5000 0.0000  4 Co 2.72, 4 Ta 2.72, 4 Ir 2.75-2.83
2 Ir 0.0000 0.0000 0.0000  4 Ta 2.72, 4 Co 2.72, 4 Ir 2.75-2.83
3 Co 0.0000 0.5000 0.5000  8 Ir 2.72, 2 Ta 2.75, 2 Co 2.83
4 Ta 0.5000 0.0000 0.5000  8 Ir 2.72, 2 Co 2.75, 2 Ta 2.83

***

No. 4
VASP calculation (GGA-PBE) on TaCoIr2 after structural relaxation.

* total magnetic moment: 0.360 μB per atom

abc: 4.3714 4.3714 4.3714
angles: 60.00 60.00 60.00
Last column: nearest neighbours and their distance in Å.
Fractional positions:
1 Co 0.5000 0.5000 0.5000  4 Ta 2.68, 4 Ir 2.68
2 Ta 0.7500 0.7500 0.7500  4 Co 2.68, 4 Ir 2.68
3 Ir 0.0000 0.0000 0.0000  4 Ta 2.68, 4 Ir 2.68
4 Ir 0.2500 0.2500 0.2500  4 Co 2.68, 4 Ir 2.68

***

No. 5
VASP calculation (GGA-PBE) on TaCoIr2 after structural relaxation.

* total magnetic moment: 0.000 μB per atom

abc: 3.8079 3.8652 3.8652
angles: 90.00 90.00 90.00
Last column: nearest neighbours and their distance in Å.
Fractional positions:
1 Co 0.5000 0.0000 0.5000  8 Ir 2.71, 4 Ta 2.73
2 Ir 0.0000 0.0000 0.0000  4 Ta 2.71, 4 Co 2.71, 4 Ir 2.73
3 Ir 0.0000 0.5000 0.5000  4 Ta 2.71, 4 Co 2.71, 4 Ir 2.73
4 Ta 0.5000 0.5000 0.0000  8 Ir 2.71, 4 Co 2.73

***

No. 6
VASP calculation (GGA-PBE) on TaCo2Ir after structural relaxation.

* total magnetic moment: 0.378 μB per atom
* polymorph energy (0 for the lowest one): 401 meV/atom

abc: 2.6994 2.6994 7.3729
angles: 90.00 90.00 89.99
Last column: nearest neighbours and their distance in Å.
Fractional positions:
1 Co 0.0000 0.0000 0.0141  4 Ir 2.58, 4 Co 2.70, 4 Ta 2.73
2 Co 0.0000 0.0000 0.4859  4 Ir 2.58, 4 Co 2.70, 4 Ta 2.73
3 Ta 0.5000 0.5000 0.7500  4 Ta 2.70, 8 Co 2.73
4 Ir 0.5000 0.5000 0.2500  8 Co 2.58, 4 Ir 2.70

***

No. 7
VASP calculation (GGA-PBE) on TaCoIr2 after structural relaxation.

* total magnetic moment: 0.300 μB per atom

abc: 4.7284 4.7284 4.6928
angles: 79.72 79.72 34.40
Last column: nearest neighbours and their distance in Å.
Fractional positions:
1 Co 0.2527 0.2527 0.2365  7 Ir 2.66-2.80, 3 Ta 2.74-2.76, 2 Co 2.80
2 Ir 0.7472 0.7472 0.7552  4 Co 2.66-2.80, 3 Ta 2.71-2.77, 5 Ir 2.73-2.80
3 Ta 0.5024 0.5024 0.4964  7 Ir 2.68-2.79, 3 Co 2.74-2.76, 2 Ta 2.80
4 Ir 0.9977 0.9977 0.0119  3 Co 2.66-2.71, 4 Ta 2.68-2.79, 5 Ir 2.73-2.80

***

No. 8
VASP calculation (GGA-PBE) on TaCoIr2 after structural relaxation.

* total magnetic moment: 0.332 μB per atom

abc: 4.6973 4.6973 4.7220
angles: 80.07 80.07 34.56
Last column: nearest neighbours and their distance in Å.
Fractional positions:
1 Ta 0.7500 0.7500 0.7500  6 Ir 2.73-2.76, 4 Co 2.74, 2 Ta 2.79
2 Ir 0.5031 0.5031 0.4856  6 Ir 2.64-2.85, 3 Co 2.68-2.70, 3 Ta 2.73-2.76
3 Co 0.2500 0.2500 0.2500  6 Ir 2.68-2.70, 4 Ta 2.74, 2 Co 2.79
4 Ir 0.9969 0.9969 0.0144  6 Ir 2.64-2.85, 3 Co 2.68-2.70, 3 Ta 2.73-2.76

***

No. 9
VASP calculation (GGA-PBE) on TaCo2Ir after structural relaxation.

* total magnetic moment: 0.423 μB per atom
* polymorph energy (0 for the lowest one): 320 meV/atom

abc: 4.2355 4.2355 4.2355
angles: 60.00 60.00 60.00
Last column: nearest neighbours and their distance in Å.
Fractional positions:
1 Co 0.2500 0.2500 0.2500  4 Ta 2.59, 4 Ir 2.59
2 Ta 0.0000 0.0000 0.0000  8 Co 2.59
3 Co 0.7500 0.7500 0.7500  4 Ta 2.59, 4 Ir 2.59
4 Ir 0.5000 0.5000 0.5000  8 Co 2.59

***

No. 10
VASP calculation (GGA-PBE) on TaCo2Ir after structural relaxation.

* total magnetic moment: 0.818 μB per atom
* polymorph energy (0 for the lowest one): 299 meV/atom

abc: 2.7995 2.7995 6.9606
angles: 90.00 90.00 90.00
Last column: nearest neighbours and their distance in Å.
Fractional positions:
1 Co 0.5000 0.5000 0.2299  4 Co 2.42, 4 Ir 2.62
2 Ir 0.0000 0.0000 0.4766  4 Co 2.62, 4 Ir 2.80, 4 Ta 2.81
3 Co 0.0000 0.0000 0.0298  4 Co 2.42, 4 Ta 2.71
4 Ta 0.5000 0.5000 0.7638  4 Co 2.71, 4 Ta 2.80, 4 Ir 2.81

***

No. 11
VASP calculation (GGA-PBE) on TaCoIr2 after structural relaxation.

* total magnetic moment: 0.000 μB per atom

abc: 4.7416 4.7416 4.7416
angles: 132.26 132.26 69.83
Last column: nearest neighbours and their distance in Å.
Fractional positions:
1 Ir 0.2500 0.7500 0.5000  4 Co 2.71, 4 Ta 2.73, 4 Ir 2.73
2 Ir 0.0000 0.0000 0.0000  4 Ta 2.71, 4 Co 2.73, 4 Ir 2.73
3 Ta 0.5000 0.5000 0.0000  8 Ir 2.71-2.73, 4 Co 2.73
4 Co 0.7500 0.2500 0.5000  8 Ir 2.71-2.73, 4 Ta 2.73

***

No. 12
VASP calculation (GGA-PBE) on TaCo2Ir after structural relaxation.

* total magnetic moment: 0.000 μB per atom
* polymorph energy (0 for the lowest one): 0 meV/atom

abc: 3.7649 3.7649 3.7157
angles: 90.00 90.00 90.00
Last column: nearest neighbours and their distance in Å.
Fractional positions:
1 Ir 0.5000 0.0000 0.5000  8 Co 2.64, 4 Ta 2.66
2 Co 0.0000 0.0000 0.0000  4 Ta 2.64, 4 Ir 2.64, 4 Co 2.66
3 Co 0.5000 0.5000 0.0000  4 Ta 2.64, 4 Ir 2.64, 4 Co 2.66
4 Ta 0.0000 0.5000 0.5000  8 Co 2.64, 4 Ir 2.66

***

No. 13
VASP calculation (GGA-PBE) on TaCo2Ir after structural relaxation.

* total magnetic moment: 0.543 μB per atom
* polymorph energy (0 for the lowest one): 657 meV/atom

abc: 3.6829 3.6829 9.1747
angles: 78.42 78.42 90.00
Last column: nearest neighbours and their distance in Å.
Fractional positions:
1 Ir 0.0000 0.0000 0.0000  4 Co 2.52, 4 Ta 2.60
2 Ta 0.5000 0.5000 0.0000  4 Co 2.59, 4 Ir 2.60
3 Co 0.0970 0.6250 0.2500  4 Co 2.46-2.75, 2 Ir 2.52, 2 Ta 2.59
4 Ta 0.2500 0.7500 0.5000  4 Co 2.59, 4 Ir 2.60
5 Co 0.8750 0.9030 0.7500  4 Co 2.46-2.75, 2 Ir 2.52, 2 Ta 2.59
6 Co 0.3750 0.3470 0.7500  4 Co 2.46-2.75, 2 Ir 2.52, 2 Ta 2.59
7 Co 0.6530 0.1250 0.2500  4 Co 2.46-2.75, 2 Ir 2.52, 2 Ta 2.59
8 Ir 0.7500 0.2500 0.5000  4 Co 2.52, 4 Ta 2.60

***

No. 14
VASP calculation (GGA-PBE) on TaCoIr2 after structural relaxation.

* total magnetic moment: 0.490 μB per atom

abc: 8.9503 8.9503 8.9503
angles: 17.86 17.86 17.86
Last column: nearest neighbours and their distance in Å.
Fractional positions:
1 Co 0.7500 0.7500 0.7500  6 Ir 2.63, 6 Co 2.78
2 Ir 0.4958 0.4958 0.4958  3 Co 2.63, 6 Ir 2.78, 3 Ta 2.81
3 Ta 0.2500 0.2500 0.2500  6 Ta 2.78, 6 Ir 2.81
4 Ir 0.0042 0.0042 0.0042  3 Co 2.63, 6 Ir 2.78, 3 Ta 2.81

***

No. 15
VASP calculation (GGA-PBE) on TaCo2Ir after structural relaxation.

* total magnetic moment: 0.448 μB per atom
* polymorph energy (0 for the lowest one): 296 meV/atom

abc: 4.2761 4.2761 4.2761
angles: 60.00 60.00 60.00
Last column: nearest neighbours and their distance in Å.
Fractional positions:
1 Co 0.2500 0.2500 0.2500  4 Ir 2.62, 4 Co 2.62
2 Ir 0.5000 0.5000 0.5000  4 Ta 2.62, 4 Co 2.62
3 Ta 0.7500 0.7500 0.7500  4 Co 2.62, 4 Ir 2.62
4 Co 0.0000 0.0000 0.0000  4 Co 2.62, 4 Ta 2.62

***

No. 16
VASP calculation (GGA-PBE) on TaCoIr2 after structural relaxation.

* total magnetic moment: 0.000 μB per atom

abc: 3.2608 3.2608 5.5305
angles: 90.00 90.00 90.00
Last column: nearest neighbours and their distance in Å.
Fractional positions:
1 Ta 0.0000 0.0000 0.5119  5 Ir 2.50-2.71, 4 Co 2.72
2 Ir 0.5000 0.5000 0.2530  2 Co 2.66-2.87, 4 Ta 2.71, 4 Ir 2.81
3 Ir 0.0000 0.0000 0.9639  1 Ta 2.50, 4 Co 2.54
4 Co 0.5000 0.5000 0.7712  5 Ir 2.54-2.66, 4 Ta 2.72

***

No. 17
VASP calculation (GGA-PBE) on Ta3CoIr after structural relaxation.

* total magnetic moment: 0.000 μB per atom
* polymorph energy (0 for the lowest one): 0 meV/atom

abc: 4.5005 4.5005 4.5005
angles: 90.00 90.00 90.00
Last column: nearest neighbours and their distance in Å.
Fractional positions:
1 Co 0.0000 0.0000 0.0000  6 Ta 2.25
2 Ta 0.0000 0.5000 0.0000  2 Co 2.25
3 Ta 0.0000 0.0000 0.5000  2 Co 2.25
4 Ir 0.5000 0.5000 0.5000  12 Ta 3.18
5 Ta 0.5000 0.0000 0.0000  2 Co 2.25

***

No. 18
VASP calculation (GGA-PBE) on TaCo3Ir after structural relaxation.

* total magnetic moment: 0.512 μB per atom
* polymorph energy (0 for the lowest one): 181 meV/atom

abc: 4.3565 4.3565 4.3565
angles: 90.00 90.00 90.00
Last column: nearest neighbours and their distance in Å.
Fractional positions:
1 Co 0.0000 0.5000 0.0000  2 Ta 2.18
2 Ta 0.0000 0.0000 0.0000  6 Co 2.18
3 Co 0.0000 0.0000 0.5000  2 Ta 2.18
4 Co 0.5000 0.0000 0.0000  2 Ta 2.18
5 Ir 0.5000 0.5000 0.5000  12 Co 3.08

***

No. 19
VASP calculation (GGA-PBE) on Ta11Co4Ir9 after structural relaxation.

* total magnetic moment: 0.000 μB per atom

abc: 2.9318 11.6901 11.6901
angles: 112.94 90.00 90.00
Last column: nearest neighbours and their distance in Å.
Fractional positions:
1 Ir 0.5000 0.3713 0.8431  1 Co 2.72, 3 Ir 2.77-2.93, 8 Ta 2.80-2.90
2 Co 0.5000 0.2522 0.4505  6 Ta 2.49-2.57, 3 Ir 2.70-2.72
3 Co 0.5000 0.7478 0.5495  6 Ta 2.49-2.57, 3 Ir 2.70-2.72
4 Ir 0.5000 0.8431 0.3713  1 Co 2.72, 3 Ir 2.77-2.93, 8 Ta 2.80-2.90
5 Ta 0.0000 0.9405 0.5922  2 Co 2.57, 6 Ir 2.71-2.81
6 Ir 0.5000 0.6287 0.1569  1 Co 2.72, 3 Ir 2.77-2.93, 8 Ta 2.80-2.90
7 Ta 0.0000 0.5922 0.9405  2 Co 2.57, 6 Ir 2.71-2.81
8 Ta 0.0000 0.8428 0.1572  8 Ir 2.90-2.91, 5 Ta 2.93-3.06
9 Ir 0.5000 0.0739 0.2190  1 Co 2.70, 8 Ta 2.71-2.91, 3 Ir 2.83-2.93
10 Co 0.5000 0.5495 0.7478  6 Ta 2.49-2.57, 3 Ir 2.70-2.72
11 Ta 0.0000 0.4078 0.0595  2 Co 2.57, 6 Ir 2.71-2.81
12 Ta 0.0000 0.6299 0.3701  4 Co 2.49
13 Ta 0.0000 0.3701 0.6299  4 Co 2.49
14 Ir 0.5000 0.9261 0.7810  1 Co 2.70, 8 Ta 2.71-2.91, 3 Ir 2.83-2.93
15 Ta 0.0000 0.0000 0.0000  8 Ir 2.78, 4 Ta 2.93-3.06
16 Ta 0.0000 0.3057 0.3057  4 Co 2.50
17 Ta 0.0000 0.1572 0.8428  8 Ir 2.90-2.91, 5 Ta 2.93-3.06
18 Ta 0.0000 0.6943 0.6943  4 Co 2.50
19 Ir 0.5000 0.2190 0.0739  1 Co 2.70, 8 Ta 2.71-2.91, 3 Ir 2.83-2.93
20 Ta 0.0000 0.0595 0.4078  2 Co 2.57, 6 Ir 2.71-2.81
21 Ir 0.5000 0.1569 0.6287  1 Co 2.72, 3 Ir 2.77-2.93, 8 Ta 2.80-2.90
22 Ir 0.5000 0.7810 0.9261  1 Co 2.70, 8 Ta 2.71-2.91, 3 Ir 2.83-2.93
23 Ir 0.5000 0.5000 0.5000  4 Co 2.72, 8 Ta 2.91-2.93, 2 Ir 2.93
24 Co 0.5000 0.4505 0.2522  6 Ta 2.49-2.57, 3 Ir 2.70-2.72

***

No. 20
VASP calculation (GGA-PBE) on TaCo2Ir after structural relaxation.

* total magnetic moment: 0.001 μB per atom
* polymorph energy (0 for the lowest one): 334 meV/atom

abc: 3.1623 3.1623 5.3625
angles: 90.00 90.00 90.00
Last column: nearest neighbours and their distance in Å.
Fractional positions:
1 Ta 0.5000 0.5000 0.7500  8 Co 2.61, 2 Ir 2.68
2 Co 0.0000 0.0000 0.0019  4 Ir 2.60, 4 Ta 2.61, 2 Co 2.66-2.70
3 Co 0.0000 0.0000 0.4981  4 Ir 2.60, 4 Ta 2.61, 2 Co 2.66-2.70
4 Ir 0.5000 0.5000 0.2500  8 Co 2.60, 2 Ta 2.68

***

Formation energy from the elements values, unit eV/atom, following the record order: 1.476 0.161 -0.281 -0.014 -0.535 0.010 -0.224 -0.268 -0.071 -0.092 -0.405 -0.391 0.266 -0.083 -0.095 -0.135 0.686 1.657 -0.483 -0.058.